Density functional theory data (PBE) for a relaxed structure of LuNpB.

Structure (POSCAR):
```
LuNpB
1.0
0.0000 3.0959 3.0959
3.0959 0.0000 3.0959
3.0959 3.0959 0.0000
Lu Np B
1 1 1
Direct
0.0000 0.0000 0.0000
0.5000 0.5000 0.5000
0.2500 0.2500 0.2500
```

Results
**Polymorph energy (0 for the lowest one)**: 0.0000 eV per atom



Density functional theory data (PBE) for a relaxed structure of Lu2BOs.

Structure (POSCAR):
```
Lu2BOs
1.0
0.0000 3.1935 3.1935
3.1935 0.0000 3.1935
3.1935 3.1935 0.0000
Lu B Os
2 1 1
Direct
0.0000 0.0000 0.0000
0.2500 0.2500 0.2500
0.5000 0.5000 0.5000
0.7500 0.7500 0.7500
```

Results
**Total DFT energy (no corrections)**: -6.315 eV/atom



Density functional theory data (PBE) for a relaxed structure of LuBOs.

Structure (POSCAR):
```
LuBOs
1.0
0.0000 3.0427 3.0427
3.0427 0.0000 3.0427
3.0427 3.0427 0.0000
Lu B Os
1 1 1
Direct
0.0000 0.0000 0.0000
0.7500 0.7500 0.7500
0.2500 0.2500 0.2500
```

Results
**Total DFT energy (no corrections)**: -5.966 eV/atom



Density functional theory data (PBE) for a relaxed structure of LuB4Os.

Structure (POSCAR):
```
LuB4Os
1.0
5.9079 0.0000 0.0000
0.0000 11.4267 0.0000
0.0000 0.0000 3.5299
Lu B Os
4 16 4
Direct
0.1288 0.1498 0.0000
0.3712 0.6498 0.0000
0.6288 0.3502 0.0000
0.8712 0.8502 0.0000
0.0246 0.6928 0.5000
0.1137 0.5476 0.5000
0.1346 0.9702 0.5000
0.2082 0.8137 0.5000
0.2918 0.3137 0.5000
0.3654 0.4702 0.5000
0.3863 0.0476 0.5000
0.4754 0.1928 0.5000
0.5246 0.8072 0.5000
0.6137 0.9524 0.5000
0.6346 0.5298 0.5000
0.7082 0.6863 0.5000
0.7918 0.1863 0.5000
0.8654 0.0298 0.5000
0.8863 0.4524 0.5000
0.9754 0.3072 0.5000
0.1421 0.4058 0.0000
0.3579 0.9058 0.0000
0.6421 0.0942 0.0000
0.8579 0.5942 0.0000
```

Results
**Polymorph energy (0 for the lowest one)**: 0.0000 eV per atom



Density functional theory data (PBE) for a relaxed structure of LuB4Os.

Structure (POSCAR):
```
LuB4Os
1.0
4.6470 0.0000 0.0000
-2.3235 4.0244 0.0000
0.0000 0.0000 9.4935
Lu B Os
1 4 1
Direct
0.0000 0.0000 0.0000
0.3333 0.6667 0.2428
0.3333 0.6667 0.7572
0.6667 0.3333 0.2428
0.6667 0.3333 0.7572
0.0000 0.0000 0.5000
```

Results
**Polymorph energy (0 for the lowest one)**: 4.2989 eV per atom



Density functional theory data (PBE) for a relaxed structure of Lu3B2P.

Structure (POSCAR):
```
Lu3B2P
1.0
3.6360 0.0000 0.0000
-1.8180 3.1488 0.0000
0.0000 0.0000 19.7988
Lu B P
6 4 2
Direct
0.0000 0.0000 0.0000
0.0000 0.0000 0.5000
0.3333 0.6667 0.1608
0.3333 0.6667 0.3392
0.6667 0.3333 0.6608
0.6667 0.3333 0.8392
0.3333 0.6667 0.5819
0.3333 0.6667 0.9181
0.6667 0.3333 0.0819
0.6667 0.3333 0.4181
0.0000 0.0000 0.2500
0.0000 0.0000 0.7500
```

Results
**Total DFT energy (no corrections)**: -5.653 eV/atom



Density functional theory data (PBE) for a relaxed structure of Lu2BP.

Structure (POSCAR):
```
Lu2BP
1.0
3.6954 0.0000 0.0000
-1.8477 3.2003 0.0000
0.0000 0.0000 13.2780
Lu B P
4 2 2
Direct
0.3333 0.6667 0.1180
0.3333 0.6667 0.3820
0.6667 0.3333 0.6180
0.6667 0.3333 0.8820
0.0000 0.0000 0.0000
0.0000 0.0000 0.5000
0.3333 0.6667 0.7500
0.6667 0.3333 0.2500
```

Results
**Total DFT energy (no corrections)**: -5.833 eV/atom



Density functional theory data (PBE) for a relaxed structure of LuBPb2.

Structure (POSCAR):
```
LuBPb2
1.0
0.0000 3.6541 3.6541
3.6541 0.0000 3.6541
3.6541 3.6541 0.0000
Lu B Pb
1 1 2
Direct
0.0000 0.0000 0.0000
0.7500 0.7500 0.7500
0.2500 0.2500 0.2500
0.5000 0.5000 0.5000
```

Results
**Total DFT energy (no corrections)**: -3.907 eV/atom